(1)
# Cd3AgPd4

A geometry-optimized Cd3AgPd4 structure (GGA-PBE, the Alexandria database).

a b c (Å): 7.9916 7.9916 7.9916
angles (deg): 33.45 33.45 33.45
With the nearest neighbours (Å) after each atom.
Sites, in units of the cell vectors:
Cd 0.0000 0.0000 0.0000  8 Pd 2.81
Cd 0.2479 0.2479 0.2479  8 Pd 2.80-2.86
Cd 0.7521 0.7521 0.7521  8 Pd 2.80-2.86
Ag 0.5000 0.5000 0.5000  8 Pd 2.82-2.85
Pd 0.1241 0.1241 0.1241  5 Cd 2.80-2.81, 3 Ag 2.82
Pd 0.3741 0.3741 0.3741  7 Cd 2.81-2.86, 1 Ag 2.85
Pd 0.6259 0.6259 0.6259  7 Cd 2.81-2.86, 1 Ag 2.85
Pd 0.8759 0.8759 0.8759  5 Cd 2.80-2.81, 3 Ag 2.82

spin magnetization	0.0	μB per formula unit

(2)
# CdAg5Pd2

A geometry-optimized CdAg5Pd2 structure (GGA-PBE, the Alexandria database).

a b c (Å): 5.8361 11.6621 4.0870
angles (deg): 90.00 90.00 90.00
With the nearest neighbours (Å) after each atom.
Sites, in units of the cell vectors:
Cd 0.0000 0.0000 0.0000  4 Pd 2.85, 8 Ag 2.92-2.96
Cd 0.5000 0.5000 0.0000  4 Pd 2.85, 8 Ag 2.92-2.96
Ag 0.0000 0.5000 0.0000  6 Ag 2.89-2.90, 2 Cd 2.92, 4 Pd 2.92
Ag 0.0142 0.2515 0.0000  7 Ag 2.88-2.92, 4 Pd 2.90-2.93, 1 Cd 2.93
Ag 0.2375 0.6283 0.5000  6 Ag 2.88-2.89, 4 Pd 2.91-2.93, 2 Cd 2.96
Ag 0.2625 0.1283 0.5000  6 Ag 2.88-2.89, 4 Pd 2.91-2.93, 2 Cd 2.96
Ag 0.4858 0.7515 0.0000  7 Ag 2.88-2.92, 4 Pd 2.90-2.93, 1 Cd 2.93
Ag 0.5000 0.0000 0.0000  6 Ag 2.89-2.90, 2 Cd 2.92, 4 Pd 2.92
Ag 0.5142 0.2485 0.0000  7 Ag 2.88-2.92, 4 Pd 2.90-2.93, 1 Cd 2.93
Ag 0.7375 0.8717 0.5000  6 Ag 2.88-2.89, 4 Pd 2.91-2.93, 2 Cd 2.96
Ag 0.7625 0.3717 0.5000  6 Ag 2.88-2.89, 4 Pd 2.91-2.93, 2 Cd 2.96
Ag 0.9858 0.7485 0.0000  7 Ag 2.88-2.92, 4 Pd 2.90-2.93, 1 Cd 2.93
Pd 0.2382 0.8776 0.5000  2 Cd 2.85, 10 Ag 2.90-2.93
Pd 0.2618 0.3776 0.5000  2 Cd 2.85, 10 Ag 2.90-2.93
Pd 0.7382 0.6224 0.5000  2 Cd 2.85, 10 Ag 2.90-2.93
Pd 0.7618 0.1224 0.5000  2 Cd 2.85, 10 Ag 2.90-2.93

spin magnetization	0.0	μB per formula unit

(3)
# CdAg2Pd5

A geometry-optimized CdAg2Pd5 structure (GGA-PBE, the Alexandria database).

a b c (Å): 8.6302 8.6302 8.6302
angles (deg): 153.08 153.08 38.43
With the nearest neighbours (Å) after each atom.
Sites, in units of the cell vectors:
Cd 0.0000 0.0000 0.0000  12 Pd 2.84-2.85
Ag 0.2495 0.2495 0.0000  4 Ag 2.84, 8 Pd 2.87-2.88
Ag 0.7505 0.7505 0.0000  4 Ag 2.84, 8 Pd 2.87-2.88
Pd 0.1240 0.6240 0.5000  6 Pd 2.84-2.85, 2 Cd 2.85, 4 Ag 2.87-2.88
Pd 0.3760 0.8760 0.5000  6 Pd 2.84-2.85, 2 Cd 2.85, 4 Ag 2.87-2.88
Pd 0.5000 0.5000 0.0000  4 Cd 2.84, 8 Pd 2.85
Pd 0.6240 0.1240 0.5000  6 Pd 2.84-2.85, 2 Cd 2.85, 4 Ag 2.87-2.88
Pd 0.8760 0.3760 0.5000  6 Pd 2.84-2.85, 2 Cd 2.85, 4 Ag 2.87-2.88

offset from the most stable computed form	0	kJ/mol of formula units
spin magnetization	0.0	μB per formula unit

(4)
# Cd12Ag5Pd2

A geometry-optimized Cd12Ag5Pd2 structure (GGA-PBE, the Alexandria database).

a b c (Å): 7.8740 7.8740 6.9819
angles (deg): 90.22 90.22 62.45
With the nearest neighbours (Å) after each atom.
Sites, in units of the cell vectors:
Cd 0.0590 0.0590 0.3132  2 Pd 2.82, 2 Ag 2.87-2.94, 7 Cd 2.94-3.06
Cd 0.0801 0.6767 0.3375  1 Pd 2.88, 5 Cd 2.92-3.20, 4 Ag 2.94-3.14
Cd 0.1520 0.5299 0.7707  1 Pd 2.83, 4 Cd 2.94-3.08, 3 Ag 2.96-3.06
Cd 0.3233 0.9199 0.6625  1 Pd 2.88, 5 Cd 2.92-3.20, 4 Ag 2.94-3.14
Cd 0.4103 0.4103 0.1164  2 Pd 2.88, 5 Cd 2.92-3.01, 3 Ag 2.93-3.05
Cd 0.4701 0.8480 0.2293  1 Pd 2.83, 4 Cd 2.94-3.08, 3 Ag 2.96-3.06
Cd 0.5299 0.1520 0.7707  1 Pd 2.83, 4 Cd 2.94-3.08, 3 Ag 2.96-3.06
Cd 0.5897 0.5897 0.8836  2 Pd 2.88, 5 Cd 2.92-3.01, 3 Ag 2.93-3.05
Cd 0.6767 0.0801 0.3375  1 Pd 2.88, 5 Cd 2.92-3.20, 4 Ag 2.94-3.14
Cd 0.8480 0.4701 0.2293  1 Pd 2.83, 4 Cd 2.94-3.08, 3 Ag 2.96-3.06
Cd 0.9199 0.3233 0.6625  1 Pd 2.88, 5 Cd 2.92-3.20, 4 Ag 2.94-3.14
Cd 0.9410 0.9410 0.6868  2 Pd 2.82, 2 Ag 2.87-2.94, 7 Cd 2.94-3.06
Ag 0.1924 0.1924 0.9933  8 Cd 2.87-3.06, 2 Pd 3.05
Ag 0.2681 0.2681 0.4362  10 Cd 2.94-3.27, 2 Ag 3.15-3.25
Ag 0.5000 0.5000 0.5000  10 Cd 2.93-3.25, 2 Ag 3.15
Ag 0.7319 0.7319 0.5638  10 Cd 2.94-3.27, 2 Ag 3.15-3.25
Ag 0.8076 0.8076 0.0067  8 Cd 2.87-3.06, 2 Pd 3.05
Pd 0.1959 0.8041 0.0000  8 Cd 2.82-2.88, 2 Ag 3.05
Pd 0.8041 0.1959 0.0000  8 Cd 2.82-2.88, 2 Ag 3.05

offset from the most stable computed form	47	kJ/mol of formula units
spin magnetization	0.0	μB per formula unit

(5)
# CdAg6Pd3

A geometry-optimized CdAg6Pd3 structure (GGA-PBE, the Alexandria database).

a b c (Å): 9.1366 9.1366 5.0545
angles (deg): 90.00 90.00 121.22
With the nearest neighbours (Å) after each atom.
Sites, in units of the cell vectors:
Cd 0.2160 0.7840 0.5000  3 Pd 2.73-2.82, 7 Ag 2.75-2.98
Cd 0.7840 0.2160 0.0000  3 Pd 2.73-2.82, 7 Ag 2.75-2.98
Ag 0.0380 0.4438 0.3335  2 Pd 2.69-3.01, 2 Cd 2.75-2.79, 5 Ag 2.82-2.94
Ag 0.0553 0.9447 0.7469  1 Cd 2.85, 6 Pd 2.85-3.07, 4 Ag 3.07-3.08
Ag 0.2934 0.3799 0.1390  4 Pd 2.75-2.84, 6 Ag 2.86-3.07
Ag 0.3048 0.6952 0.0183  1 Pd 2.68, 2 Cd 2.82-2.98, 6 Ag 2.82-2.89
Ag 0.3799 0.2934 0.6390  4 Pd 2.75-2.84, 6 Ag 2.86-3.07
Ag 0.4438 0.0380 0.8335  2 Pd 2.69-3.01, 2 Cd 2.75-2.79, 5 Ag 2.82-2.94
Ag 0.5562 0.9620 0.3335  2 Pd 2.69-3.01, 2 Cd 2.75-2.79, 5 Ag 2.82-2.94
Ag 0.6201 0.7066 0.1390  4 Pd 2.75-2.84, 6 Ag 2.86-3.07
Ag 0.6952 0.3048 0.5183  1 Pd 2.68, 2 Cd 2.82-2.98, 6 Ag 2.82-2.89
Ag 0.7066 0.6201 0.6390  4 Pd 2.75-2.84, 6 Ag 2.86-3.07
Ag 0.9447 0.0553 0.2469  1 Cd 2.85, 6 Pd 2.85-3.07, 4 Ag 3.07-3.08
Ag 0.9620 0.5562 0.8335  2 Pd 2.69-3.01, 2 Cd 2.75-2.79, 5 Ag 2.82-2.94
Pd 0.0623 0.2598 0.7289  5 Ag 2.69-2.92, 1 Cd 2.73, 1 Pd 2.89
Pd 0.2598 0.0623 0.2289  5 Ag 2.69-2.92, 1 Cd 2.73, 1 Pd 2.89
Pd 0.3919 0.6081 0.5656  5 Ag 2.68-2.84, 1 Cd 2.82
Pd 0.6081 0.3919 0.0656  5 Ag 2.68-2.84, 1 Cd 2.82
Pd 0.7402 0.9377 0.7289  5 Ag 2.69-2.92, 1 Cd 2.73, 1 Pd 2.89
Pd 0.9377 0.7402 0.2289  5 Ag 2.69-2.92, 1 Cd 2.73, 1 Pd 2.89

offset from the most stable computed form	0	kJ/mol of formula units
spin magnetization	0.0	μB per formula unit

(6)
# Cd5AgPd4

A geometry-optimized Cd5AgPd4 structure (GGA-PBE, the Alexandria database).

a b c (Å): 3.0714 3.0714 18.9781
angles (deg): 90.00 90.00 90.00
With the nearest neighbours (Å) after each atom.
Sites, in units of the cell vectors:
Cd 0.0000 0.0000 0.0000  8 Pd 2.86, 4 Cd 3.07
Cd 0.0000 0.0000 0.1955  8 Pd 2.85-2.86, 4 Cd 3.07
Cd 0.0000 0.0000 0.3911  4 Pd 2.85, 4 Ag 3.00, 4 Cd 3.07
Cd 0.0000 0.0000 0.6089  4 Pd 2.85, 4 Ag 3.00, 4 Cd 3.07
Cd 0.0000 0.0000 0.8045  8 Pd 2.85-2.86, 4 Cd 3.07
Ag 0.5000 0.5000 0.5000  8 Cd 3.00, 4 Ag 3.07
Pd 0.5000 0.5000 0.0978  8 Cd 2.85-2.86, 4 Pd 3.07
Pd 0.5000 0.5000 0.2936  8 Cd 2.85-2.86, 4 Pd 3.07
Pd 0.5000 0.5000 0.7064  8 Cd 2.85-2.86, 4 Pd 3.07
Pd 0.5000 0.5000 0.9022  8 Cd 2.85-2.86, 4 Pd 3.07

spin magnetization	0.0	μB per formula unit

(7)
# CdAg3Pd2

A geometry-optimized CdAg3Pd2 structure (GGA-PBE, the Alexandria database).

a b c (Å): 5.0602 5.0602 9.0124
angles (deg): 99.39 99.39 110.60
With the nearest neighbours (Å) after each atom.
Sites, in units of the cell vectors:
Cd 0.1246 0.8754 0.7500  6 Pd 2.87-2.94, 6 Ag 2.88-2.94
Cd 0.8754 0.1246 0.2500  6 Pd 2.87-2.94, 6 Ag 2.88-2.94
Ag 0.2094 0.4594 0.9182  5 Ag 2.87-2.94, 5 Pd 2.88-2.92, 2 Cd 2.89-2.94
Ag 0.3746 0.6254 0.2500  6 Ag 2.87-2.94, 2 Cd 2.88, 4 Pd 2.89-2.94
Ag 0.4594 0.2094 0.4182  5 Ag 2.87-2.94, 5 Pd 2.88-2.92, 2 Cd 2.89-2.94
Ag 0.5406 0.7906 0.5818  5 Ag 2.87-2.94, 5 Pd 2.88-2.92, 2 Cd 2.89-2.94
Ag 0.6254 0.3746 0.7500  6 Ag 2.87-2.94, 2 Cd 2.88, 4 Pd 2.89-2.94
Ag 0.7906 0.5406 0.0818  5 Ag 2.87-2.94, 5 Pd 2.88-2.92, 2 Cd 2.89-2.94
Pd 0.0413 0.2912 0.5825  3 Cd 2.87-2.94, 7 Ag 2.88-2.94, 2 Pd 2.88-2.93
Pd 0.2912 0.0413 0.0825  3 Cd 2.87-2.94, 7 Ag 2.88-2.94, 2 Pd 2.88-2.93
Pd 0.7088 0.9587 0.9175  3 Cd 2.87-2.94, 7 Ag 2.88-2.94, 2 Pd 2.88-2.93
Pd 0.9587 0.7088 0.4175  3 Cd 2.87-2.94, 7 Ag 2.88-2.94, 2 Pd 2.88-2.93

offset from the most stable computed form	0	kJ/mol of formula units
spin magnetization	0.0	μB per formula unit

(8)
# Cd2Ag5Pd4

A geometry-optimized Cd2Ag5Pd4 structure (GGA-PBE, the Alexandria database).

a b c (Å): 9.8904 9.8904 7.0883
angles (deg): 96.35 96.35 16.51
With the nearest neighbours (Å) after each atom.
Sites, in units of the cell vectors:
Cd 0.0912 0.0912 0.2246  4 Pd 2.68-2.94, 2 Ag 2.78-2.79, 2 Cd 2.84
Cd 0.9088 0.9088 0.7754  4 Pd 2.68-2.94, 2 Ag 2.78-2.79, 2 Cd 2.84
Ag 0.1410 0.1410 0.6096  3 Pd 2.66-2.97, 1 Cd 2.79, 5 Ag 2.84-2.91
Ag 0.2334 0.2334 0.3142  1 Cd 2.78, 7 Ag 2.84-3.00, 3 Pd 2.84-2.89
Ag 0.5000 0.5000 0.5000  6 Ag 2.84-3.12, 4 Pd 2.94, 4 Cd 3.13
Ag 0.7666 0.7666 0.6858  1 Cd 2.78, 7 Ag 2.84-3.00, 3 Pd 2.84-2.89
Ag 0.8590 0.8590 0.3904  3 Pd 2.66-2.97, 1 Cd 2.79, 5 Ag 2.84-2.91
Pd 0.0469 0.0469 0.8536  3 Ag 2.66-2.94, 2 Cd 2.68-2.70, 5 Pd 2.84-2.97
Pd 0.3224 0.3224 0.0242  6 Pd 2.84-3.15, 5 Ag 2.84-2.97, 2 Cd 2.94
Pd 0.6776 0.6776 0.9758  6 Pd 2.84-3.15, 5 Ag 2.84-2.97, 2 Cd 2.94
Pd 0.9531 0.9531 0.1464  3 Ag 2.66-2.94, 2 Cd 2.68-2.70, 5 Pd 2.84-2.97

spin magnetization	0.0	μB per formula unit

(9)
# CdAg3Pd

A geometry-optimized CdAg3Pd structure (GGA-PBE, the Alexandria database).

a b c (Å): 5.0688 5.0688 5.0688
angles (deg): 90.00 90.00 90.00
With the nearest neighbours (Å) after each atom.
Sites, in units of the cell vectors:
Cd 0.0000 0.0000 0.0000  12 Ag 3.58
Ag 0.0000 0.5000 0.5000  2 Pd 2.53
Ag 0.5000 0.0000 0.5000  2 Pd 2.53
Ag 0.5000 0.5000 0.0000  2 Pd 2.53
Pd 0.5000 0.5000 0.5000  6 Ag 2.53

offset from the most stable computed form	345	kJ/mol of formula units
spin magnetization	0.0	μB per formula unit

(10)
# Cd4Ag5Pd

A geometry-optimized Cd4Ag5Pd structure (GGA-PBE, the Alexandria database).

a b c (Å): 5.0157 5.8935 6.8683
angles (deg): 76.56 73.75 77.11
With the nearest neighbours (Å) after each atom.
Sites, in units of the cell vectors:
Cd 0.1049 0.3964 0.3082  2 Pd 2.90-2.94, 7 Ag 2.92-3.01, 3 Cd 2.99-3.17
Cd 0.3065 0.2040 0.8875  1 Pd 2.87, 8 Ag 2.88-3.00, 3 Cd 3.09-3.17
Cd 0.6935 0.7960 0.1125  1 Pd 2.87, 8 Ag 2.88-3.00, 3 Cd 3.09-3.17
Cd 0.8951 0.6036 0.6918  2 Pd 2.90-2.94, 7 Ag 2.92-3.01, 3 Cd 2.99-3.17
Ag 0.1012 0.9036 0.2985  6 Cd 2.88-3.00, 5 Ag 2.93-3.08, 1 Pd 3.08
Ag 0.2965 0.7003 0.8968  7 Cd 2.93-3.00, 4 Ag 2.93-3.11, 1 Pd 3.04
Ag 0.5000 0.0000 0.5000  6 Ag 2.93-2.94, 2 Pd 2.95, 4 Cd 3.00-3.01
Ag 0.7035 0.2997 0.1032  7 Cd 2.93-3.00, 4 Ag 2.93-3.11, 1 Pd 3.04
Ag 0.8988 0.0964 0.7015  6 Cd 2.88-3.00, 5 Ag 2.93-3.08, 1 Pd 3.08
Pd 0.5000 0.5000 0.5000  6 Cd 2.87-2.94, 6 Ag 2.95-3.08

offset from the most stable computed form	0	kJ/mol of formula units
spin magnetization	0.0	μB per formula unit

(11)
# CdAgPd2

A geometry-optimized CdAgPd2 structure (GGA-PBE, the Alexandria database).

a b c (Å): 4.3336 4.3336 3.6191
angles (deg): 90.00 90.00 90.00
With the nearest neighbours (Å) after each atom.
Sites, in units of the cell vectors:
Cd 0.0000 0.0000 0.0000  8 Pd 2.82, 4 Ag 3.06
Ag 0.5000 0.5000 0.0000  8 Pd 2.82, 4 Cd 3.06
Pd 0.0000 0.5000 0.5000  4 Cd 2.82, 4 Ag 2.82, 4 Pd 3.06
Pd 0.5000 0.0000 0.5000  4 Cd 2.82, 4 Ag 2.82, 4 Pd 3.06

spin magnetization	0.0	μB per formula unit

(12)
# Cd8Ag2Pd3

A geometry-optimized Cd8Ag2Pd3 structure (GGA-PBE, the Alexandria database).

a b c (Å): 7.3219 7.3219 5.6417
angles (deg): 96.62 96.62 64.53
With the nearest neighbours (Å) after each atom.
Sites, in units of the cell vectors:
Cd 0.0766 0.6981 0.0788  2 Ag 2.79-2.94, 2 Pd 2.79-2.87, 3 Cd 2.96-3.09
Cd 0.0995 0.0995 0.3967  1 Ag 2.84, 4 Cd 2.87-3.09, 2 Pd 2.92
Cd 0.3019 0.9234 0.9212  2 Ag 2.79-2.94, 2 Pd 2.79-2.87, 3 Cd 2.96-3.09
Cd 0.3180 0.3180 0.6781  3 Pd 2.69-2.93, 2 Ag 2.74-2.92, 1 Cd 2.94
Cd 0.6820 0.6820 0.3219  3 Pd 2.69-2.93, 2 Ag 2.74-2.92, 1 Cd 2.94
Cd 0.6981 0.0766 0.0788  2 Ag 2.79-2.94, 2 Pd 2.79-2.87, 3 Cd 2.96-3.09
Cd 0.9005 0.9005 0.6033  1 Ag 2.84, 4 Cd 2.87-3.09, 2 Pd 2.92
Cd 0.9234 0.3019 0.9212  2 Ag 2.79-2.94, 2 Pd 2.79-2.87, 3 Cd 2.96-3.09
Ag 0.2951 0.2951 0.1874  7 Cd 2.74-2.94, 1 Pd 2.88
Ag 0.7049 0.7049 0.8126  7 Cd 2.74-2.94, 1 Pd 2.88
Pd 0.3248 0.6752 0.5000  1 Pd 2.74, 6 Cd 2.79-2.93
Pd 0.5000 0.5000 0.0000  6 Cd 2.69-2.87, 2 Ag 2.88
Pd 0.6752 0.3248 0.5000  1 Pd 2.74, 6 Cd 2.79-2.93

offset from the most stable computed form	38	kJ/mol of formula units
spin magnetization	0.0	μB per formula unit

E_tot in eV/cell, matching the order above: -28.96 -52.83 -33.63 -37.31 -66.17 -31.49 -41.35 -37.09 -11.60 -24.14 -15.14 -30.02
Energy of formation from the pure elements in eV/atom, matching the order above: -0.324 -0.107 -0.132 -0.089 0.052 -0.329 -0.137 -0.021 0.612 -0.103 -0.246 -0.109